Record 1
Density functional theory data (PBE) for a relaxed Ta2MnMo crystal.

As for the energy relative to the elements: 0.008 eV per atom. As for the volume: 15.89 Å³ per atom. The electronic total energy comes out at -87.35 eV per cell.

It has space group C2/m (No. 12), with a = 5.554 Å, b = 8.665 Å, c = 2.830 Å, α = 90.00°, β = 111.06° and γ = 90.00°. The asymmetric unit holds Ta at (0.250, 0.250, 0.000), Mn at (0.000, 0.000, 0.500) and Mo at (0.000, 0.500, 0.500).

Record 2
Density functional theory data (PBE) for a relaxed CeDyCu2 crystal.

Its energy relative to the lowest polymorph listed for this composition is 0 meV/atom. As for the energy relative to the elements: -0.132 eV per atom. As for the volume: 21.36 Å³ per atom. The electronic total energy comes out at -19.26 eV per cell.

It has space group P4/mmm (No. 123), with a = 3.439 Å, b = 3.439 Å, c = 7.226 Å, α = 90.00°, β = 90.00° and γ = 90.00°. The asymmetric unit holds Ce at (0.000, 0.000, 0.000), Dy at (0.000, 0.000, 0.500) and Cu at (0.500, 0.500, 0.266).

Record 3
Density functional theory data (PBE) for a relaxed HfSbTeI2 crystal.

Its raw formation energy is 0.845 eV per atom. Its energy relative to the lowest polymorph listed for this composition is 774 meV/atom. As for the volume: 40.28 Å³ per atom. The electronic total energy comes out at -16.09 eV per cell.

It has space group P4/mmm (No. 123), with a = 5.814 Å, b = 5.814 Å, c = 5.957 Å, α = 90.00°, β = 90.00° and γ = 90.00°. The asymmetric unit holds Hf at (0.000, 0.000, 0.000), Sb at (0.500, 0.500, 0.500), Te at (0.500, 0.500, 0.000) and I at (0.000, 0.500, 0.500).

Record 4
Density functional theory data (PBE) for a relaxed Y2ThPd3 crystal.

Its energy relative to the lowest polymorph listed for this composition is 0 meV/atom. As for the energy relative to the elements: -0.797 eV per atom. As for the volume: 22.69 Å³ per atom. The electronic total energy comes out at -81.41 eV per cell.

It has space group Cmmm (No. 65), with a = 5.032 Å, b = 15.114 Å, c = 3.581 Å, α = 90.00°, β = 90.00° and γ = 90.00°. The asymmetric unit holds Y at (0.000, 0.172, 0.000), Th at (0.000, 0.500, 0.000), Pd at (0.000, 0.000, 0.500) and Pd at (0.000, 0.339, 0.500).

- Look up the volume of the second one.
  21.36 Å³ per atom

- electronic total energy of number 1 (Ta2MnMo)?
  -87.35 eV per cell